# RbNd2Th

RbNd2Th after structural relaxation (PBE, Alexandria via LeMat-Bulk).

```
RbNd2Th
1.0
1.849 1.068 13.558
-1.849 1.068 13.558
0.000 -2.135 13.558
Rb Nd Th
1 2 1
Direct
0.000 0.000 0.000
0.097 0.097 0.097
0.903 0.903 0.903
0.500 0.500 0.500
```

spin magnetization	0.00	μB/f.u.
E_tot	-4.24	eV per atom
calculated volume	160.6	Å³ per cell
ΔH_f (0 K)	1.0	eV per formula unit
space-group type	R-3m, No. 166
theoretical density	6.27	g/cm³